(1)
A relaxed structure of Co2Ir2Os, computed with GGA-PBE.

a b c (Å): 2.6903 3.7380 13.1189
angles (deg): 90.00 90.00 90.00
Element x y z (fractional)
Co 0.0000 0.0000 0.2042
Co 0.0000 0.0000 0.7958
Co 0.5000 0.5000 0.2958
Co 0.5000 0.5000 0.7042
Ir 0.0000 0.0000 0.3949
Ir 0.0000 0.0000 0.6051
Ir 0.5000 0.5000 0.1051
Ir 0.5000 0.5000 0.8949
Os 0.0000 0.0000 0.0000
Os 0.5000 0.5000 0.5000

Calculated values
SG: Immm
Energy above the lowest structure with this stoichiometry, kcal/mol of atoms: 0.00
ΔH_f (0 K), eV per atom: 0.05
Crystal system: orthorhombic

(2)
A relaxed structure of YNi5Pb, computed with GGA-PBE.

a b c (Å): 8.1598 4.9129 10.3981
angles (deg): 90.00 90.00 90.00
Element x y z (fractional)
Y 0.2458 0.2500 0.0625
Y 0.2542 0.7500 0.5625
Y 0.7458 0.2500 0.4375
Y 0.7542 0.7500 0.9375
Ni 0.0514 0.2500 0.6077
Ni 0.0681 0.0018 0.8127
Ni 0.0681 0.4982 0.8127
Ni 0.0789 0.7500 0.0174
Ni 0.1870 0.7500 0.2388
Ni 0.3130 0.2500 0.7388
Ni 0.4211 0.2500 0.5174
Ni 0.4319 0.5018 0.3127
Ni 0.4319 0.9982 0.3127
Ni 0.4486 0.7500 0.1077
Ni 0.5514 0.2500 0.8923
Ni 0.5681 0.0018 0.6873
Ni 0.5681 0.4982 0.6873
Ni 0.5789 0.7500 0.4826
Ni 0.6870 0.7500 0.2612
Ni 0.8130 0.2500 0.7612
Ni 0.9211 0.2500 0.9826
Ni 0.9319 0.5018 0.1873
Ni 0.9319 0.9982 0.1873
Ni 0.9486 0.7500 0.3923
Pb 0.1374 0.2500 0.3645
Pb 0.3626 0.7500 0.8645
Pb 0.6374 0.2500 0.1355
Pb 0.8626 0.7500 0.6355

Calculated values
SG: Pnma
ΔH_f (0 K), eV per atom: -0.22
Crystal system: orthorhombic

(3)
A relaxed structure of AcErAu2, computed with GGA-PBE.

a b c (Å): 3.9195 3.9195 29.2248
angles (deg): 90.00 90.00 120.00
Element x y z (fractional)
Ac 0.0000 0.0000 0.0000
Ac 0.3333 0.6667 0.6667
Ac 0.6667 0.3333 0.3333
Er 0.0000 0.0000 0.5000
Er 0.3333 0.6667 0.1667
Er 0.6667 0.3333 0.8333
Au 0.0000 0.0000 0.1058
Au 0.0000 0.0000 0.8942
Au 0.3333 0.6667 0.5608
Au 0.3333 0.6667 0.7725
Au 0.6667 0.3333 0.2275
Au 0.6667 0.3333 0.4392

Calculated values
SG: R-3m
Energy above the lowest structure with this stoichiometry, kcal/mol of atoms: 12.09
ΔH_f (0 K), eV per atom: -0.31
Crystal system: trigonal

(4)
A relaxed structure of ErMnH4, computed with GGA-PBE.

a b c (Å): 3.2736 3.2736 4.5618
angles (deg): 90.00 90.00 90.00
Element x y z (fractional)
Er 0.0000 0.0000 0.0000
Mn 0.5000 0.5000 0.5000
H 0.0000 0.5000 0.3061
H 0.0000 0.5000 0.6939
H 0.5000 0.0000 0.3061
H 0.5000 0.0000 0.6939

Calculated values
SG: P4/mmm
Calculated total energy, eV/cell: -28.67
Crystal system: tetragonal

(5)
A relaxed structure of TbCeCu3, computed with GGA-PBE.

a b c (Å): 13.2937 13.2937 4.3451
angles (deg): 90.00 90.00 164.81
Element x y z (fractional)
Tb 0.2042 0.7958 0.7500
Tb 0.7958 0.2042 0.2500
Ce 0.0718 0.9282 0.2500
Ce 0.9282 0.0718 0.7500
Cu 0.3293 0.6707 0.7500
Cu 0.3821 0.6179 0.2500
Cu 0.4766 0.5234 0.2500
Cu 0.5234 0.4766 0.7500
Cu 0.6179 0.3821 0.7500
Cu 0.6707 0.3293 0.2500

Calculated values
SG: Cmcm
ΔH_f (0 K), eV per atom: -0.17
Crystal system: orthorhombic

(6)
A relaxed structure of LaDyPt, computed with GGA-PBE.

a b c (Å): 7.6978 7.1113 6.8698
angles (deg): 90.00 113.89 90.00
Element x y z (fractional)
La 0.1176 0.0890 0.3060
La 0.1176 0.4110 0.8060
La 0.8824 0.5890 0.1940
La 0.8824 0.9110 0.6940
Dy 0.4491 0.7456 0.2259
Dy 0.4491 0.7544 0.7259
Dy 0.5509 0.2456 0.2741
Dy 0.5509 0.2544 0.7741
Pt 0.2780 0.0386 0.9080
Pt 0.2780 0.4614 0.4080
Pt 0.7220 0.5386 0.5920
Pt 0.7220 0.9614 0.0920

Calculated values
SG: P2_1/c
Energy above the lowest structure with this stoichiometry, kcal/mol of atoms: 0.50
ΔH_f (0 K), eV per atom: -0.85
Crystal system: monoclinic

(7)
A relaxed structure of LaCuBr2, computed with GGA-PBE.

a b c (Å): 4.7898 4.7898 8.5927
angles (deg): 90.00 90.00 90.00
Element x y z (fractional)
La 0.0000 0.0000 0.0000
La 0.5000 0.5000 0.5000
Cu 0.0000 0.0000 0.5000
Cu 0.5000 0.5000 0.0000
Br 0.0000 0.5000 0.2500
Br 0.0000 0.5000 0.7500
Br 0.5000 0.0000 0.2500
Br 0.5000 0.0000 0.7500

Calculated values
SG: I4/mmm
Energy above the lowest structure with this stoichiometry, kcal/mol of atoms: 2.37
Crystal system: tetragonal
Raw formation energy, eV per atom: -0.87

(8)
A relaxed structure of NbCdRu2, computed with GGA-PBE.

a b c (Å): 4.3884 4.3884 3.3629
angles (deg): 90.00 90.00 90.00
Element x y z (fractional)
Nb 0.0000 0.0000 0.0000
Cd 0.5000 0.5000 0.0000
Ru 0.0000 0.5000 0.5000
Ru 0.5000 0.0000 0.5000

Calculated values
SG: P4/mmm
ΔH_f (0 K), eV per atom: 0.04
Crystal system: tetragonal

(9)
A relaxed structure of NaPuGaO5, computed with GGA-PBE.

a b c (Å): 5.8747 5.8747 7.9011
angles (deg): 104.94 104.94 106.22
Element x y z (fractional)
Na 0.1680 0.8320 0.7500
Na 0.8320 0.1680 0.2500
Pu 0.5000 0.5000 0.0000
Pu 0.5000 0.5000 0.5000
Ga 0.1899 0.8101 0.2500
Ga 0.8101 0.1899 0.7500
O 0.1334 0.2582 0.9125
O 0.1928 0.5882 0.3799
O 0.2582 0.1334 0.4125
O 0.4118 0.8072 0.1201
O 0.4251 0.5749 0.7500
O 0.5749 0.4251 0.2500
O 0.5882 0.1928 0.8799
O 0.7418 0.8666 0.5875
O 0.8072 0.4118 0.6201
O 0.8666 0.7418 0.0875

Calculated values
SG: C2/c
Crystal system: monoclinic
Raw formation energy, eV per atom: -2.17

(10)
A relaxed structure of BaAlTe2I, computed with GGA-PBE.

a b c (Å): 6.6387 6.6387 6.6711
angles (deg): 90.00 90.00 90.00
Element x y z (fractional)
Ba 0.0000 0.0000 0.0000
Al 0.5000 0.5000 0.5000
Te 0.0000 0.5000 0.0000
Te 0.5000 0.0000 0.0000
I 0.0000 0.0000 0.5000

Calculated values
SG: P4/mmm
Energy above the lowest structure with this stoichiometry, kcal/mol of atoms: 20.24
Crystal system: tetragonal
Raw formation energy, eV per atom: 0.04

(11)
A relaxed structure of Sc4Bi3Sb, computed with GGA-PBE.

a b c (Å): 7.3452 8.4808 7.3420
angles (deg): 90.00 109.46 90.00
Element x y z (fractional)
Sc 0.2443 0.1219 0.0006
Sc 0.2443 0.8781 0.5006
Sc 0.2476 0.3716 0.4966
Sc 0.2476 0.6284 0.9966
Sc 0.7524 0.3716 0.0034
Sc 0.7524 0.6284 0.5034
Sc 0.7557 0.1219 0.4994
Sc 0.7557 0.8781 0.9994
Bi 0.0000 0.3748 0.7500
Bi 0.0000 0.6252 0.2500
Bi 0.5000 0.1249 0.7500
Bi 0.5000 0.3751 0.2500
Bi 0.5000 0.6249 0.7500
Bi 0.5000 0.8751 0.2500
Sb 0.0000 0.1246 0.2500
Sb 0.0000 0.8754 0.7500

Calculated values
SG: P2/c
Crystal system: monoclinic
Raw formation energy, eV per atom: -0.73

(12)
A relaxed structure of NpInPt, computed with GGA-PBE.

a b c (Å): 6.7047 6.7047 6.7047
angles (deg): 90.00 90.00 90.00
Element x y z (fractional)
Np 0.0000 0.0000 0.0000
Np 0.0000 0.5000 0.5000
Np 0.5000 0.0000 0.5000
Np 0.5000 0.5000 0.0000
In 0.0000 0.0000 0.5000
In 0.0000 0.5000 0.0000
In 0.5000 0.0000 0.0000
In 0.5000 0.5000 0.5000
Pt 0.2500 0.2500 0.7500
Pt 0.2500 0.7500 0.2500
Pt 0.7500 0.2500 0.2500
Pt 0.7500 0.7500 0.7500

Calculated values
SG: F-43m
ΔH_f (0 K), eV per atom: -0.29
Crystal system: cubic

Number 1: D(E_F) 1.12 states/eV per atom, calculated density 17.43 Mg/m³. Number 2: D(E_F) 1.08 states/eV per atom, calculated density 9.39 Mg/m³. Number 3: D(E_F) 1.09 states/eV per atom, calculated density 10.10 Mg/m³. Number 4: D(E_F) 0.38 states/eV per atom, calculated density 7.68 Mg/m³. Number 5: D(E_F) 1.45 states/eV per atom, calculated density 8.08 Mg/m³. Number 6: D(E_F) 1.33 states/eV per atom, calculated density 9.59 Mg/m³. Number 7: D(E_F) 0.00 states/eV per atom, calculated density 6.10 Mg/m³. Number 8: D(E_F) 1.21 states/eV per atom, calculated density 10.45 Mg/m³. Number 9: D(E_F) 0.53 states/eV per atom, calculated density 5.85 Mg/m³. Number 10: D(E_F) 1.40 states/eV per atom, calculated density 3.09 Mg/m³. Number 11: D(E_F) 0.21 states/eV per atom, calculated density 7.15 Mg/m³. Number 12: D(E_F) 3.60 states/eV per atom, calculated density 12.05 Mg/m³.